VASP calculation (GGA-PBE) on crystalline Pm2Ge3Pt4Au at its relaxed geometry.

Structure (CIF):
```
data_Pm2Ge3Pt4Au
_cell_length_a 4.350
_cell_length_b 4.350
_cell_length_c 10.458
_cell_angle_alpha 90.00
_cell_angle_beta 90.00
_cell_angle_gamma 90.00
_space_group_name_H-M_alt 'P -4 m 2'
_space_group_IT_number 115
_space_group_name_Hall 'P -4 -2'
loop_
_atom_site_label
_atom_site_type_symbol
_atom_site_fract_x
_atom_site_fract_y
_atom_site_fract_z
Pm1 Pm 0.000 0.500 0.245
Ge1 Ge 0.000 0.000 0.000
Ge2 Ge 0.000 0.500 0.624
Pt1 Pt 0.000 0.000 0.500
Pt2 Pt 0.000 0.500 0.853
Pt3 Pt 0.500 0.500 0.500
Au1 Au 0.500 0.500 0.000
```

Computed properties:
DOS(E_F): 0.555 states/eV per atom
total magnetic moment: 0.000 μB/cell
final energy: -59.025 eV/cell
E_form: -823 meV/atom



VASP calculation (GGA-PBE) on crystalline PmGePt2Au2 at its relaxed geometry.

Structure (CIF):
```
data_PmGePt2Au2
_cell_length_a 4.273
_cell_length_b 4.273
_cell_length_c 17.227
_cell_angle_alpha 90.00
_cell_angle_beta 90.00
_cell_angle_gamma 90.00
_space_group_name_H-M_alt 'I 4/m m m'
_space_group_IT_number 139
_space_group_name_Hall '-I 4 2'
loop_
_atom_site_label
_atom_site_type_symbol
_atom_site_fract_x
_atom_site_fract_y
_atom_site_fract_z
Pm1 Pm 0.000 0.000 0.000
Ge1 Ge 0.000 0.000 0.500
Pt1 Pt 0.000 0.000 0.154
Au1 Au 0.000 0.500 0.250
```

Computed properties:
DOS(E_F): 1.031 states/eV per atom
total magnetic moment: 0.003 μB/cell
final energy: -51.147 eV/cell
E_form: 405 meV/atom



VASP calculation (GGA-PBE) on crystalline PmGePtAu at its relaxed geometry.

Structure (CIF):
```
data_PmGePtAu
_cell_length_a 6.916
_cell_length_b 6.916
_cell_length_c 6.916
_cell_angle_alpha 90.00
_cell_angle_beta 90.00
_cell_angle_gamma 90.00
_space_group_name_H-M_alt 'F -4 3 m'
_space_group_IT_number 216
_space_group_name_Hall 'F -4 2 3'
loop_
_atom_site_label
_atom_site_type_symbol
_atom_site_fract_x
_atom_site_fract_y
_atom_site_fract_z
Pm1 Pm 0.000 0.000 0.000
Ge1 Ge 0.000 0.000 0.500
Pt1 Pt 0.250 0.250 0.750
Au1 Au 0.250 0.250 0.250
```

Computed properties:
DOS(E_F): 0.573 states/eV per atom
total magnetic moment: 0.000 μB/cell
final energy: -84.499 eV/cell
E_form: -610 meV/atom



VASP calculation (GGA-PBE) on crystalline PmGe2Pt5Au at its relaxed geometry.

Structure (CIF):
```
data_PmGe2Pt5Au
_cell_length_a 4.185
_cell_length_b 4.185
_cell_length_c 9.337
_cell_angle_alpha 90.00
_cell_angle_beta 90.00
_cell_angle_gamma 90.00
_space_group_name_H-M_alt 'P 4/m m m'
_space_group_IT_number 123
_space_group_name_Hall '-P 4 2'
loop_
_atom_site_label
_atom_site_type_symbol
_atom_site_fract_x
_atom_site_fract_y
_atom_site_fract_z
Pm1 Pm 0.000 0.000 0.000
Ge1 Ge 0.500 0.500 0.371
Pt1 Pt 0.000 0.500 0.230
Pt2 Pt 0.500 0.500 0.000
Au1 Au 0.000 0.000 0.500
```

Computed properties:
DOS(E_F): 0.336 states/eV per atom
total magnetic moment: 0.000 μB/cell
final energy: -52.066 eV/cell
E_form: -511 meV/atom